Entry 1:
{
  "formula": "ErThAu3",
  "functional": "GGA-PBE",
  "state": "optimized geometry",
  "cell": [[-2.7501, 2.0169, -0.8840], [-2.1628, -3.7447, -1.8152], [-4.5715, -3.6358, 12.9478]],
  "species": ["Th", "Th", "Er", "Er", "Au", "Au", "Au", "Au", "Au", "Au"],
  "fractional_positions": [[0.9256, 0.7500, 0.8513], [0.0744, 0.2500, 0.1487], [0.2080, 0.7500, 0.4160], [0.7920, 0.2500, 0.5840], [0.3764, 0.2500, 0.7529], [0.6236, 0.7500, 0.2471], [0.5254, 0.7500, 0.0507], [0.3153, 0.7500, 0.6306], [0.4746, 0.2500, 0.9493], [0.6847, 0.2500, 0.3694]],
  "magmom_total_mub_per_cell": 0.00,
  "ef_kj_per_mol_fu": -372
}

***

Entry 2:
{
  "formula": "ErTh2Au4",
  "functional": "GGA-PBE",
  "state": "optimized geometry",
  "cell": [[-4.5312, 1.0006, 2.4669], [-1.9354, -4.5820, -1.6964], [5.5211, -1.1770, 5.0206]],
  "species": ["Th", "Th", "Au", "Au", "Au", "Au", "Er"],
  "fractional_positions": [[0.2852, 0.2852, 0.5703], [0.7148, 0.7148, 0.4297], [0.6104, 0.1104, 0.2209], [0.8896, 0.3896, 0.7791], [0.1104, 0.6104, 0.2209], [0.3896, 0.8896, 0.7791], [0.0000, 0.0000, 0.0000]],
  "magmom_total_mub_per_cell": 0.00,
  "ef_kj_per_mol_fu": -383
}

***

Entry 3:
{
  "formula": "ErTh3Au7",
  "functional": "GGA-PBE",
  "state": "optimized geometry",
  "cell": [[3.8284, 0.0000, 0.0000], [-1.9142, 10.8670, 0.0000], [0.0000, 0.0000, 12.9637]],
  "species": ["Au", "Au", "Au", "Au", "Au", "Au", "Au", "Au", "Au", "Au", "Au", "Au", "Au", "Au", "Th", "Th", "Th", "Th", "Th", "Th", "Er", "Er"],
  "fractional_positions": [[0.6031, 0.2061, 0.8615], [0.3720, 0.7439, 0.7500], [0.6280, 0.2561, 0.2500], [0.2743, 0.5486, 0.4300], [0.4718, 0.9436, 0.5921], [0.3969, 0.7939, 0.3615], [0.4718, 0.9436, 0.9079], [0.5282, 0.0564, 0.4079], [0.3969, 0.7939, 0.1385], [0.2743, 0.5486, 0.0700], [0.7257, 0.4514, 0.9300], [0.5282, 0.0564, 0.0921], [0.7257, 0.4514, 0.5700], [0.6031, 0.2061, 0.6385], [0.2181, 0.4361, 0.7500], [0.7819, 0.5639, 0.2500], [0.8648, 0.7295, 0.5556], [0.8648, 0.7295, 0.9444], [0.1352, 0.2705, 0.4444], [0.1352, 0.2705, 0.0556], [0.0158, 0.0316, 0.7500], [0.9842, 0.9684, 0.2500]],
  "magmom_total_mub_per_cell": 0.00,
  "ef_kj_per_mol_fu": -662
}

***

Entry 4:
{
  "formula": "Er5ThAu6",
  "functional": "GGA-PBE",
  "state": "optimized geometry",
  "cell": [[4.9034, 0.0209, -1.4311], [-0.9779, 6.2610, -3.2603], [-0.0882, 0.5245, 8.8223]],
  "species": ["Au", "Au", "Au", "Au", "Au", "Au", "Er", "Er", "Er", "Er", "Er", "Th"],
  "fractional_positions": [[0.8306, 0.0865, 0.6610], [0.1694, 0.9135, 0.3390], [0.5000, 0.7353, 0.0000], [0.1696, 0.4255, 0.3390], [0.5000, 0.2647, 0.0000], [0.8304, 0.5745, 0.6610], [0.0000, 0.5000, 0.0000], [0.3323, 0.3323, 0.6646], [0.6680, 0.1680, 0.3359], [0.3320, 0.8320, 0.6641], [0.6677, 0.6677, 0.3354], [0.0000, 0.0000, 0.0000]],
  "magmom_total_mub_per_cell": 0.00,
  "ef_kj_per_mol_fu": -943
}

***

Entry 5:
{
  "formula": "Er2ThAu",
  "functional": "GGA-PBE",
  "state": "optimized geometry",
  "cell": [[-0.2197, -1.0385, -3.3297], [-0.0830, -3.4090, -0.7654], [-11.1708, -1.3689, -0.6699]],
  "species": ["Er", "Er", "Au", "Th"],
  "fractional_positions": [[0.8981, 0.8981, 0.3058], [0.1019, 0.1019, 0.6942], [0.5000, 0.5000, 0.5000], [0.0000, 0.0000, 0.0000]],
  "magmom_total_mub_per_cell": 0.00,
  "ef_kj_per_mol_fu": -19
}

***

Entry 6:
{
  "formula": "ErTh5Au6",
  "functional": "GGA-PBE",
  "state": "optimized geometry",
  "cell": [[-4.9062, -0.6158, 1.5633], [1.4466, -7.2372, 1.6895], [0.2666, -1.8651, 8.7479]],
  "species": ["Th", "Th", "Th", "Th", "Th", "Au", "Au", "Au", "Au", "Au", "Au", "Er"],
  "fractional_positions": [[0.0000, 0.5000, 0.0000], [0.3164, 0.8174, 0.3652], [0.3487, 0.3488, 0.3024], [0.6513, 0.6512, 0.6976], [0.6836, 0.1826, 0.6348], [0.5000, 0.2098, 0.0000], [0.1620, 0.3900, 0.6775], [0.8380, 0.6100, 0.3225], [0.1621, 0.9326, 0.6775], [0.8379, 0.0674, 0.3225], [0.5000, 0.7902, 0.0000], [0.0000, 0.0000, 0.0000]],
  "magmom_total_mub_per_cell": 0.00,
  "ef_kj_per_mol_fu": -715
}

***

Entry 7:
{
  "formula": "ErTh3Au4",
  "functional": "GGA-PBE",
  "state": "optimized geometry",
  "cell": [[-2.0437, -2.7835, 0.9845], [4.1856, -2.3695, 1.9893], [-1.8340, 4.6851, 9.4391]],
  "species": ["Au", "Au", "Au", "Au", "Th", "Th", "Th", "Er"],
  "fractional_positions": [[0.0000, 0.5000, 0.7699], [0.0000, 0.5000, 0.2301], [0.0000, 0.0000, 0.0000], [0.0000, 0.0000, 0.5000], [0.5000, 0.0000, 0.2515], [0.5000, 0.5000, 0.5000], [0.5000, 0.0000, 0.7485], [0.5000, 0.5000, 0.0000]],
  "magmom_total_mub_per_cell": 0.00,
  "ef_kj_per_mol_fu": -490
}

***

Entry 8:
{
  "formula": "Er2ThAu3",
  "functional": "GGA-PBE",
  "state": "optimized geometry",
  "cell": [[-1.7755, -0.5142, 3.0329], [0.4154, -3.5099, -0.3518], [9.6340, 0.5654, 5.7357]],
  "species": ["Au", "Au", "Au", "Er", "Er", "Th"],
  "fractional_positions": [[0.0000, 0.0000, 0.0000], [0.0000, 0.0000, 0.6865], [0.0000, 0.0000, 0.3135], [0.5000, 0.5000, 0.8402], [0.5000, 0.5000, 0.1598], [0.5000, 0.5000, 0.5000]],
  "magmom_total_mub_per_cell": 0.00,
  "ef_kj_per_mol_fu": -447
}

***

Number 1: DFT total energy -5.1341 eV/atom, DOS(E_F) 0.5139 states/eV per atom. Number 2: DFT total energy -5.2120 eV/atom, DOS(E_F) 0.7569 states/eV per atom. Number 3: DFT total energy -5.1481 eV/atom, DOS(E_F) 0.8231 states/eV per atom. Number 4: DFT total energy -4.9727 eV/atom, DOS(E_F) 0.6170 states/eV per atom. Number 5: DFT total energy -5.0039 eV/atom, DOS(E_F) 1.1580 states/eV per atom. Number 6: DFT total energy -5.7282 eV/atom, DOS(E_F) 0.9854 states/eV per atom. Number 7: DFT total energy -5.6262 eV/atom, DOS(E_F) 0.8637 states/eV per atom. Number 8: DFT total energy -5.1691 eV/atom, DOS(E_F) 0.7989 states/eV per atom.